<1>
Entry from the Alexandria database: a relaxed structure of SiOsAu2 (GGA-PBE).

## Properties
Calculated density, g/cm³: 14.83
DOS at the Fermi energy, states/eV/atom: 0.737
Spin magnetization, Bohr magnetons per cell: 1.2

a b c (Å): 3.7301 3.7301 10.1988
angles (deg): 79.46 79.46 90.00
Site moments in Bohr magnetons follow the coordinates.
Sites, in units of the cell vectors:
Os1 0.0000 0.0000 0.0000  0.54
Os2 0.7500 0.2500 0.5000  0.54
Si1 0.5000 0.5000 0.0000  -0.01
Si2 0.2500 0.7500 0.5000  -0.01
Au1 0.6256 0.1250 0.2500  0.01
Au2 0.1244 0.6250 0.2500  0.01
Au3 0.3750 0.3744 0.7500  0.01
Au4 0.8750 0.8756 0.7500  0.01

=====

<2>
Entry from the Alexandria database: a relaxed structure of SiOsAu2 (GGA-PBE).

## Properties
Calculated density, g/cm³: 15.38
DOS at the Fermi energy, states/eV/atom: 0.831
Spin magnetization, Bohr magnetons per cell: 0.0

a b c (Å): 2.8175 2.8175 9.6933
angles (deg): 90.00 90.00 120.76
Sites, in units of the cell vectors:
Au1 0.0000 0.0000 0.9959
Au2 0.0000 0.0000 0.5041
Os1 0.5000 0.5000 0.2500
Si1 0.5000 0.5000 0.7500

=====

<3>
Entry from the Alexandria database: a relaxed structure of SiOsAu2 (GGA-PBE).

## Properties
Calculated density, g/cm³: 15.63
DOS at the Fermi energy, states/eV/atom: 0.727
Spin magnetization, Bohr magnetons per cell: 0.0

a b c (Å): 4.7788 4.7788 3.1024
angles (deg): 90.00 90.00 113.37
Sites, in units of the cell vectors:
Au1 0.0000 0.0000 0.0000
Au2 0.5000 0.5000 0.0000
Os1 0.5000 0.0000 0.5000
Si1 0.0000 0.5000 0.5000

=====

<4>
Entry from the Alexandria database: a relaxed structure of SiOsAu2 (GGA-PBE).

## Properties
Calculated density, g/cm³: 15.80
DOS at the Fermi energy, states/eV/atom: 0.582
Spin magnetization, Bohr magnetons per cell: 0.0

a b c (Å): 2.9192 4.4578 4.9443
angles (deg): 90.00 90.00 90.00
Sites, in units of the cell vectors:
Au1 0.0000 0.0000 0.0000
Au2 0.5000 0.5000 0.0000
Os1 0.5000 0.0000 0.5000
Si1 0.0000 0.5000 0.5000

=====

What is the stability order? It is <4>, <3>, <1>, <2>, from most stable to least stable.

=====

<1>
Entry from the Alexandria database: a relaxed structure of SiOsAu2 (GGA-PBE).

## Properties
Calculated density, g/cm³: 15.93
DOS at the Fermi energy, states/eV/atom: 0.428
Spin magnetization, Bohr magnetons per cell: 0.0

a b c (Å): 3.0336 3.0336 6.9356
angles (deg): 90.00 90.00 90.00
Sites, in units of the cell vectors:
Au1 0.0000 0.0000 0.9719
Au2 0.5000 0.5000 0.2615
Os1 0.0000 0.0000 0.5536
Si1 0.5000 0.5000 0.7130

=====

<2>
Entry from the Alexandria database: a relaxed structure of SiOsAu2 (GGA-PBE).

## Properties
Calculated density, g/cm³: 15.83
DOS at the Fermi energy, states/eV/atom: 0.591
Spin magnetization, Bohr magnetons per cell: 0.7

a b c (Å): 8.9990 8.9990 8.9990
angles (deg): 18.52 18.52 18.52
Site moments in Bohr magnetons follow the coordinates.
Sites, in units of the cell vectors:
Au1 0.0045 0.0045 0.0045  0.02
Au2 0.4955 0.4955 0.4955  0.02
Os1 0.2500 0.2500 0.2500  0.60
Si1 0.7500 0.7500 0.7500  0.00

=====

<3>
Entry from the Alexandria database: a relaxed structure of SiOsAu2 (GGA-PBE).

## Properties
Calculated density, g/cm³: 15.07
DOS at the Fermi energy, states/eV/atom: 0.655
Spin magnetization, Bohr magnetons per cell: 0.5

a b c (Å): 4.4596 4.4596 5.5432
angles (deg): 74.28 74.28 39.72
Site moments in Bohr magnetons follow the coordinates.
Sites, in units of the cell vectors:
Au1 0.9716 0.9716 0.0098  0.03
Au2 0.7495 0.7495 0.7328  0.01
Os1 0.5256 0.5256 0.4215  0.41
Si1 0.2533 0.2533 0.3360  -0.01

=====

<4>
Entry from the Alexandria database: a relaxed structure of SiOsAu2 (GGA-PBE).

## Properties
Calculated density, g/cm³: 15.57
DOS at the Fermi energy, states/eV/atom: 1.163
Spin magnetization, Bohr magnetons per cell: 0.0

a b c (Å): 4.5201 4.5201 4.5201
angles (deg): 60.00 60.00 60.00
Sites, in units of the cell vectors:
Os1 0.5000 0.5000 0.5000
Si1 0.0000 0.0000 0.0000
Au1 0.2500 0.2500 0.2500
Au2 0.7500 0.7500 0.7500

=====

What is the stability order? It is <1>, <3>, <2>, <4>, from most stable to least stable.

=====

<1>
Entry from the Alexandria database: a relaxed structure of SiOsAu2 (GGA-PBE).

## Properties
Calculated density, g/cm³: 15.61
DOS at the Fermi energy, states/eV/atom: 0.483
Spin magnetization, Bohr magnetons per cell: 0.0

a b c (Å): 3.5967 2.8943 6.4228
angles (deg): 76.91 90.00 90.00
Sites, in units of the cell vectors:
Au1 0.0000 0.8211 0.9843
Au2 0.5000 0.1818 0.2613
Os1 0.0000 0.5302 0.5645
Si1 0.5000 0.9669 0.6899

=====

<2>
Entry from the Alexandria database: a relaxed structure of SiOsAu2 (GGA-PBE).

## Properties
Calculated density, g/cm³: 16.03
DOS at the Fermi energy, states/eV/atom: 0.553
Spin magnetization, Bohr magnetons per cell: 0.0

a b c (Å): 4.6381 4.6381 4.6381
angles (deg): 125.75 125.75 80.30
Sites, in units of the cell vectors:
Au1 0.0000 0.0000 0.0000
Au2 0.2500 0.7500 0.5000
Os1 0.5000 0.5000 0.0000
Si1 0.7500 0.2500 0.5000

=====

<3>
Entry from the Alexandria database: a relaxed structure of SiOsAu2 (GGA-PBE).

## Properties
Calculated density, g/cm³: 15.89
DOS at the Fermi energy, states/eV/atom: 0.782
Spin magnetization, Bohr magnetons per cell: 0.0

a b c (Å): 8.8079 8.8079 8.8079
angles (deg): 19.10 19.10 19.10
Sites, in units of the cell vectors:
Au1 0.0095 0.0095 0.0095
Au2 0.2471 0.2471 0.2471
Os1 0.4882 0.4882 0.4882
Si1 0.7552 0.7552 0.7552

=====

What is the stability order? It is <1>, <3>, <2>, from most stable to least stable.

=====

<1>
Entry from the Alexandria database: a relaxed structure of SiOs2Au (GGA-PBE).

## Properties
Calculated density, g/cm³: 16.89
DOS at the Fermi energy, states/eV/atom: 0.474
Spin magnetization, Bohr magnetons per cell: 0.0

a b c (Å): 5.3732 5.3732 4.4410
angles (deg): 65.65 65.65 30.90
Sites, in units of the cell vectors:
Au1 0.2500 0.2500 0.2500
Os1 0.0409 0.0409 0.9591
Os2 0.4591 0.4591 0.5409
Si1 0.7500 0.7500 0.7500

=====

<2>
Entry from the Alexandria database: a relaxed structure of SiOs2Au (GGA-PBE).

## Properties
Calculated density, g/cm³: 16.72
DOS at the Fermi energy, states/eV/atom: 0.429
Spin magnetization, Bohr magnetons per cell: 0.0

a b c (Å): 2.8206 2.8206 7.5600
angles (deg): 90.00 90.00 90.00
Sites, in units of the cell vectors:
Au1 0.5000 0.5000 0.7415
Os1 0.0000 0.0000 0.0263
Os2 0.5000 0.5000 0.2568
Si1 0.0000 0.0000 0.4754

=====

<3>
Entry from the Alexandria database: a relaxed structure of SiOs2Au (GGA-PBE).

## Properties
Calculated density, g/cm³: 17.09
DOS at the Fermi energy, states/eV/atom: 0.560
Spin magnetization, Bohr magnetons per cell: 0.0

a b c (Å): 4.7825 4.7825 4.7825
angles (deg): 132.22 132.22 69.88
Sites, in units of the cell vectors:
Au1 0.7500 0.2500 0.5000
Os1 0.0000 0.0000 0.0000
Os2 0.2500 0.7500 0.5000
Si1 0.5000 0.5000 0.0000

=====

What is the stability order? It is <1>, <2>, <3>, from most stable to least stable.

=====

<1>
Entry from the Alexandria database: a relaxed structure of SiOs2Au (GGA-PBE).

## Properties
Calculated density, g/cm³: 16.82
DOS at the Fermi energy, states/eV/atom: 0.684
Spin magnetization, Bohr magnetons per cell: 0.0

a b c (Å): 3.9896 2.9255 5.3273
angles (deg): 74.08 90.00 90.00
Sites, in units of the cell vectors:
Au1 0.5000 0.7028 0.7197
Os1 0.0000 0.0511 0.0238
Os2 0.5000 0.4418 0.2420
Si1 0.0000 0.3043 0.5146

=====

<2>
Entry from the Alexandria database: a relaxed structure of SiOs2Au (GGA-PBE).

## Properties
Calculated density, g/cm³: 16.53
DOS at the Fermi energy, states/eV/atom: 0.886
Spin magnetization, Bohr magnetons per cell: 0.0

a b c (Å): 5.3810 5.3810 2.7810
angles (deg): 75.37 75.37 119.28
Sites, in units of the cell vectors:
Au1 0.0000 0.5000 0.5000
Os1 0.0000 0.0000 0.0000
Os2 0.5000 0.5000 0.0000
Si1 0.5000 0.0000 0.5000

=====

<3>
Entry from the Alexandria database: a relaxed structure of SiOs2Au (GGA-PBE).

## Properties
Calculated density, g/cm³: 17.21
DOS at the Fermi energy, states/eV/atom: 0.653
Spin magnetization, Bohr magnetons per cell: 0.0

a b c (Å): 2.9470 2.9470 6.7271
angles (deg): 90.00 90.00 90.00
Sites, in units of the cell vectors:
Au1 0.5000 0.5000 0.7500
Os1 0.0000 0.0000 0.0466
Os2 0.0000 0.0000 0.4534
Si1 0.5000 0.5000 0.2500

=====

What is the stability order? It is <3>, <1>, <2>, from most stable to least stable.

=====

<1>
Entry from the Alexandria database: a relaxed structure of SiOs2Au (GGA-PBE).

## Properties
Calculated density, g/cm³: 16.57
DOS at the Fermi energy, states/eV/atom: 0.946
Spin magnetization, Bohr magnetons per cell: 0.0

a b c (Å): 4.4108 4.4108 4.4108
angles (deg): 60.00 60.00 60.00
Sites, in units of the cell vectors:
Au1 0.5000 0.5000 0.5000
Os1 0.0000 0.0000 0.0000
Os2 0.2500 0.2500 0.2500
Si1 0.7500 0.7500 0.7500

=====

<2>
Entry from the Alexandria database: a relaxed structure of SiOs2Au (GGA-PBE).

## Properties
Calculated density, g/cm³: 16.84
DOS at the Fermi energy, states/eV/atom: 0.769
Spin magnetization, Bohr magnetons per cell: 0.0

a b c (Å): 3.8791 2.9226 5.5410
angles (deg): 71.91 90.00 90.00
Sites, in units of the cell vectors:
Au1 0.5000 0.7500 0.7500
Os1 0.0000 0.1107 0.0282
Os2 0.0000 0.3893 0.4718
Si1 0.5000 0.2500 0.2500

=====

<3>
Entry from the Alexandria database: a relaxed structure of SiOs2Au (GGA-PBE).

## Properties
Calculated density, g/cm³: 16.57
DOS at the Fermi energy, states/eV/atom: 0.841
Spin magnetization, Bohr magnetons per cell: 0.0

a b c (Å): 2.8050 4.7428 4.5604
angles (deg): 90.00 90.00 90.00
Sites, in units of the cell vectors:
Au1 0.0000 0.5000 0.5000
Os1 0.0000 0.0000 0.0000
Os2 0.5000 0.5000 0.0000
Si1 0.5000 0.0000 0.5000

=====

What is the stability order? It is <2>, <3>, <1>, from most stable to least stable.

=====

<1>
Entry from the Alexandria database: a relaxed structure of SiOs2Au (GGA-PBE).

## Properties
Calculated density, g/cm³: 16.25
DOS at the Fermi energy, states/eV/atom: 1.112
Spin magnetization, Bohr magnetons per cell: 0.1

a b c (Å): 2.8078 2.8078 9.1214
angles (deg): 90.00 90.00 120.63
Site moments in Bohr magnetons follow the coordinates.
Sites, in units of the cell vectors:
Au1 0.5000 0.5000 0.7387  0.00
Os1 0.0000 0.0000 0.0183  0.13
Os2 0.5000 0.5000 0.2618  0.00
Si1 0.0000 0.0000 0.4812  0.00

=====

<2>
Entry from the Alexandria database: a relaxed structure of SiOs2Au (GGA-PBE).

## Properties
Calculated density, g/cm³: 16.55
DOS at the Fermi energy, states/eV/atom: 0.813
Spin magnetization, Bohr magnetons per cell: 0.0

a b c (Å): 2.7874 2.7874 8.8752
angles (deg): 90.00 90.00 118.25
Sites, in units of the cell vectors:
Au1 0.5000 0.5000 0.7500
Os1 0.0000 0.0000 0.0364
Os2 0.0000 0.0000 0.4636
Si1 0.5000 0.5000 0.2500

=====

What is the stability order? It is <2>, <1>, from most stable to least stable.

=====

<1>
Entry from the Alexandria database: a relaxed structure of Si2OsAu2 (GGA-PBE).

## Properties
Calculated density, g/cm³: 13.11
DOS at the Fermi energy, states/eV/atom: 0.586
Spin magnetization, Bohr magnetons per cell: 0.5

a b c (Å): 7.1927 7.1927 3.1362
angles (deg): 90.00 90.00 90.00
Site moments in Bohr magnetons follow the coordinates.
Sites, in units of the cell vectors:
Os1 0.0000 0.0000 0.0000  0.26
Os2 0.5000 0.5000 0.0000  0.25
Si1 0.1788 0.6788 0.5000  -0.01
Si2 0.6788 0.8212 0.5000  -0.01
Si3 0.8212 0.3212 0.5000  -0.01
Si4 0.3212 0.1788 0.5000  -0.01
Au1 0.3662 0.8662 0.0000  0.00
Au2 0.8662 0.6338 0.0000  0.00
Au3 0.6338 0.1338 0.0000  0.00
Au4 0.1338 0.3662 0.0000  0.00

=====

<2>
Entry from the Alexandria database: a relaxed structure of Si2OsAu2 (GGA-PBE).

## Properties
Calculated density, g/cm³: 12.71
DOS at the Fermi energy, states/eV/atom: 0.899
Spin magnetization, Bohr magnetons per cell: 0.0

a b c (Å): 3.4285 3.4285 7.5194
angles (deg): 76.82 76.82 90.00
Sites, in units of the cell vectors:
Os1 0.0000 0.0000 0.0000
Si1 0.7500 0.2500 0.5000
Si2 0.2500 0.7500 0.5000
Au1 0.3980 0.3980 0.2040
Au2 0.6020 0.6020 0.7960

=====

What is the stability order? It is <1>, <2>, from most stable to least stable.

=====

<1>
Entry from the Alexandria database: a relaxed structure of Sm8OsAu2 (GGA-PBE).

## Properties
Calculated density, g/cm³: 9.22
DOS at the Fermi energy, states/eV/atom: 1.119
Spin magnetization, Bohr magnetons per cell: 0.0

a b c (Å): 6.4231 8.8137 8.8137
angles (deg): 125.82 106.03 106.03
Sites, in units of the cell vectors:
Sm1 0.6565 0.4252 0.1778
Sm2 0.6565 0.1778 0.4252
Sm3 0.0914 0.2528 0.2528
Sm4 0.9981 0.1504 0.7685
Sm5 0.9981 0.7685 0.1504
Sm6 0.7587 0.7013 0.7013
Sm7 0.3417 0.8827 0.6540
Sm8 0.3417 0.6540 0.8827
Os1 0.2785 0.0270 0.0270
Au1 0.4392 0.7071 0.2872
Au2 0.4392 0.2872 0.7071

=====

<2>
Entry from the Alexandria database: a relaxed structure of Sm8OsAu2 (GGA-PBE).

## Properties
Calculated density, g/cm³: 9.52
DOS at the Fermi energy, states/eV/atom: 1.086
Spin magnetization, Bohr magnetons per cell: 0.0

a b c (Å): 5.1829 6.9704 9.2628
angles (deg): 103.55 106.25 90.00
Sites, in units of the cell vectors:
Sm1 0.4125 0.5648 0.8250
Sm2 0.6596 0.9682 0.3191
Sm3 0.7978 0.6833 0.5957
Sm4 0.9717 0.2089 0.9434
Sm5 0.2022 0.3167 0.4043
Sm6 0.3404 0.0318 0.6809
Sm7 0.5875 0.4352 0.1750
Sm8 0.0283 0.7911 0.0566
Os1 0.5000 0.0000 0.0000
Au1 0.8112 0.2726 0.6225
Au2 0.1888 0.7274 0.3775

=====

What is the stability order? It is <2>, <1>, from most stable to least stable.